Record 1
The following is a PBE calculation of a relaxed LiLaPrEu crystal, from the Alexandria database.

The calculation puts the density at 5.4 g cm⁻³. For the formation energy, the calculation gives 17.6 kJ/mol of atoms. The calculation puts the magnetic moment at 29.79 μB per cell. For the total energy, the calculation gives -0.3889 Ry per atom.

The space group is F-43m (No. 216) and the conventional cell measures 8.148, 8.148 and 8.148 Å, with angles of 90.00, 90.00 and 90.00 degrees. Symmetry generates all atoms from Li at (0.000, 0.000, 0.000), La at (0.250, 0.250, 0.250), Pr at (0.250, 0.250, 0.750) and Eu at (0.000, 0.000, 0.500).

***

Record 2
The following is a PBE calculation of a relaxed Ti4GeTe crystal, from the Alexandria database.

The calculation puts the density at 6.0 g cm⁻³. The raw formation energy is -0.354 eV/atom. The calculation puts the magnetic moment at 0.00 μB per cell. For the total energy, the calculation gives -0.5079 Ry per atom.

The space group is C2/c (No. 15) and the conventional cell measures 8.224, 11.355 and 6.094 Å, with angles of 90.00, 129.81 and 90.00 degrees. Symmetry generates all atoms from Ti at (0.149, 0.181, 0.216), Ti at (0.180, 0.443, 0.267), Ge at (0.000, 0.029, 0.750) and Te at (0.000, 0.338, 0.750).

***

Record 3
The following is a PBE calculation of a relaxed Ba4CeTi3O12 crystal, from the Alexandria database.

The calculation puts the density at 6.0 g cm⁻³. The raw formation energy is -3.053 eV/atom. The calculation puts the magnetic moment at 0.00 μB per cell. For the total energy, the calculation gives -0.5802 Ry per atom.

The space group is Im-3m (No. 229) and the conventional cell measures 8.291, 8.291 and 8.291 Å, with angles of 90.00, 90.00 and 90.00 degrees. Symmetry generates all atoms from Ba at (0.250, 0.250, 0.250), Ce at (0.000, 0.000, 0.000), Ti at (0.000, 0.000, 0.500), O at (0.000, 0.000, 0.266) and O at (0.000, 0.250, 0.500).

***

Record 4
The following is a PBE calculation of a relaxed Tm2Co3Ru crystal, from the Alexandria database.

The calculation puts the density at 11.0 g cm⁻³. For the formation energy, the calculation gives -27.4 kJ/mol of atoms. The calculation puts the magnetic moment at 5.51 μB per cell. For the total energy, the calculation gives -0.5052 Ry per atom.

The space group is C2/m (No. 12) and the conventional cell measures 8.781, 5.060 and 5.112 Å, with angles of 90.00, 124.80 and 90.00 degrees. Symmetry generates all atoms from Tm at (0.125, 0.000, 0.374), Co at (0.000, 0.500, 0.000), Co at (0.250, 0.250, 0.000) and Ru at (0.000, 0.500, 0.500).

***

What is the formula in the third record?
Ba4CeTi3O12

***

Number 3 is which compound?
Ba4CeTi3O12

***

Number 1 is which compound?
LiLaPrEu

***

Among the records above, which one has the lowest density?
LiLaPrEu